Record 1
Here is Sm5Tm2Sc2 after structural relaxation from Alexandria. Energies are from GGA-PBE.

Calculated values
ρ = 6.968 g cm⁻³
M_tot = 0.00 μB/atom
E_form = 1.76 eV per formula unit
energy above the most stable polymorph in this dataset = 153 meV per atom
volume = 31.24 Å³/atom

Structure (CIF):
```
data_Sm5Tm2Sc2
_chemical_formula_sum 'Sm20 Tm8 Sc8'
_symmetry_space_group_name_H-M 'I m a 2'
_symmetry_Int_Tables_number 46
_cell_length_a 14.8926
_cell_length_b 12.4867
_cell_length_c 6.0469
_cell_angle_alpha 90.00
_cell_angle_beta 90.00
_cell_angle_gamma 90.00
loop_
_symmetry_equiv_pos_as_xyz
'x,y,z'
'-x,-y,z'
'-x+1/2,y,z'
'x+1/2,-y,z'
'x+1/2,y+1/2,z+1/2'
'-x+1/2,-y+1/2,z+1/2'
'-x,y+1/2,z+1/2'
'x,-y+1/2,z+1/2'
loop_
_atom_site_label
_atom_site_type_symbol
_atom_site_fract_x
_atom_site_fract_y
_atom_site_fract_z
Sm1 Sm 0.0471 0.1880 0.0000
Sm2 Sm 0.1436 0.6862 0.8436
Sm3 Sm 0.2500 0.1738 0.7485
Tm1 Tm 0.0000 0.0000 0.4397
Tm2 Tm 0.2500 0.0544 0.2717
Sc1 Sc 0.1425 0.5530 0.3471
```

=====

Record 2
Here is Ca2LaTlH after structural relaxation from Alexandria. Energies are from GGA-PBE.

Calculated values
ρ = 5.441 g cm⁻³
M_tot = 0.02 μB/atom
energy above the most stable polymorph in this dataset = 0 meV per atom
volume = 25.91 Å³/atom

Structure (CIF):
```
data_Ca2LaTlH
_chemical_formula_sum 'Ca2 La1 Tl1 H1'
_symmetry_space_group_name_H-M 'P 4/m m m'
_symmetry_Int_Tables_number 123
_symmetry_space_group_name_Hall '-P 4 2'
_cell_length_a 5.0678
_cell_length_b 5.0678
_cell_length_c 5.0436
_cell_angle_alpha 90.00
_cell_angle_beta 90.00
_cell_angle_gamma 90.00
loop_
_atom_site_label
_atom_site_type_symbol
_atom_site_fract_x
_atom_site_fract_y
_atom_site_fract_z
Ca1 Ca 0.0000 0.5000 0.0000
La1 La 0.0000 0.0000 0.5000
Tl1 Tl 0.5000 0.5000 0.5000
H1 H 0.0000 0.0000 0.0000
```

=====

Record 3
Here is Tl5Hg12Br3 after structural relaxation from Alexandria. Energies are from GGA-PBE.

Calculated values
ρ = 7.665 g cm⁻³
M_tot = 0.00 μB/atom
formation energy (no corrections) = -0.051 eV/atom
volume = 39.74 Å³/atom

Structure (CIF):
```
data_Tl5Hg12Br3
_chemical_formula_sum 'Tl40 Hg96 Br24'
_symmetry_space_group_name_H-M 'I a -3 d'
_symmetry_Int_Tables_number 230
_symmetry_space_group_name_Hall '-I 4bd 2c 3'
_cell_length_a 18.5261
_cell_length_b 18.5261
_cell_length_c 18.5261
_cell_angle_alpha 90.00
_cell_angle_beta 90.00
_cell_angle_gamma 90.00
loop_
_atom_site_label
_atom_site_type_symbol
_atom_site_fract_x
_atom_site_fract_y
_atom_site_fract_z
Tl1 Tl 0.0000 0.0000 0.0000
Tl2 Tl 0.0000 0.2500 0.3750
Hg1 Hg 0.0186 0.0814 0.6498
Br1 Br 0.0000 0.2500 0.1250
```

=====

What uncorrected energy values result from the calculations? In sequence: -4.8265, -3.2471, -1.0743 eV per atom.